No. 1
# HgMo

A relaxed HgMo crystal (PBE-GGA, Alexandria via LeMat-Bulk).

Geometry as extended XYZ:
```
6
Lattice="1.537 5.595 0.008 -1.537 5.595 0.008 0.000 1.768 6.688" Properties=species:S:1:pos:R:3 pbc="T T T"
Hg 0.000 11.201 0.184
Hg 0.000 8.747 4.561
Hg 0.000 11.625 3.905
Mo 0.000 4.828 6.415
Mo 0.000 3.915 2.097
Mo 0.000 7.591 1.847
```

Values from the calculation:
* formation energy from the elements: 483 meV per atom
* space group: Cm, No. 8

No. 2
# HgMo5

A relaxed HgMo5 crystal (PBE-GGA, Alexandria via LeMat-Bulk).

Geometry as extended XYZ:
```
6
Lattice="1.561 -4.917 -2.061 3.869 -3.697 -1.491 0.743 -4.119 5.808" Properties=species:S:1:pos:R:3 pbc="T T T"
Hg 0.756 -4.117 5.751
Mo 2.078 -4.261 0.706
Mo 4.140 -8.484 1.395
Mo 3.495 -6.397 -0.463
Mo 5.580 -10.680 0.262
Mo 2.184 -6.257 4.548
```

Values from the calculation:
* formation energy from the elements: 479 meV per atom
* space group: Cm, No. 8

No. 3
# Hg2Mo3

A relaxed Hg2Mo3 crystal (PBE-GGA, Alexandria via LeMat-Bulk).

Geometry as extended XYZ:
```
5
Lattice="-1.656 4.151 -0.409 -2.341 -3.145 2.183 2.515 1.478 4.826" Properties=species:S:1:pos:R:3 pbc="T T T"
Mo -0.261 2.673 3.571
Mo -1.221 -0.189 3.030
Mo 0.000 0.000 0.000
Hg -0.024 0.515 5.328
Hg -1.459 1.969 1.273
```

Values from the calculation:
* formation energy from the elements: 1330 meV per atom
* space group: P-3m1, No. 164

No. 4
# HgMo

A relaxed HgMo crystal (PBE-GGA, Alexandria via LeMat-Bulk).

Geometry as extended XYZ:
```
6
Lattice="3.941 6.602 2.769 -5.918 -4.424 -3.491 -2.137 -0.519 4.280" Properties=species:S:1:pos:R:3 pbc="T T T"
Hg -2.677 -0.799 -1.433
Hg -5.761 -4.248 -3.391
Hg -2.685 0.127 1.379
Mo -5.703 -3.248 -0.537
Mo 0.712 2.991 0.719
Mo 0.405 3.583 3.342
```

Values from the calculation:
* formation energy from the elements: 483 meV per atom
* space group: Amm2, No. 38

No. 5
# Hg3Mo5

A relaxed Hg3Mo5 crystal (PBE-GGA, Alexandria via LeMat-Bulk).

Geometry as extended XYZ:
```
16
Lattice="8.462 0.000 0.000 4.231 7.328 0.000 0.000 0.000 4.797" Properties=species:S:1:pos:R:3 pbc="T T T"
Hg 6.785 2.905 3.598
Hg 5.908 4.423 1.199
Hg 2.554 4.423 3.598
Hg 1.677 2.905 1.199
Hg 3.354 0.000 3.598
Hg 5.107 0.000 1.199
Mo 6.940 0.000 3.598
Mo 5.752 7.328 1.199
Mo 3.470 6.011 1.199
Mo 8.462 4.886 2.398
Mo 0.761 1.318 3.598
Mo 4.231 2.443 4.797
Mo 4.231 2.443 2.399
Mo 4.992 6.011 3.598
Mo 7.701 1.318 1.199
Mo 8.462 4.886 4.797
```

Values from the calculation:
* formation energy from the elements: 670 meV per atom
* space group: P6_3/mcm, No. 193

No. 6
# Hg3Mo

A relaxed Hg3Mo crystal (PBE-GGA, Alexandria via LeMat-Bulk).

Geometry as extended XYZ:
```
4
Lattice="-1.032 -2.279 -1.781 2.064 -0.583 2.198 -7.482 -1.742 6.566" Properties=species:S:1:pos:R:3 pbc="T T T"
Mo -4.580 -2.455 5.796
Hg -3.880 -0.903 3.405
Hg -0.838 -1.584 2.513
Hg -7.343 -1.710 6.444
```

Values from the calculation:
* formation energy from the elements: 492 meV per atom
* space group: P-6m2, No. 187